HoTmGeBr2 after structural relaxation. Source: the Open Quantum Materials Database, functional PBE-GGA.

Summary:
Crystal system = trigonal
VASP energy = -4.832 eV per atom

a b c (Å): 4.0940 4.0940 10.0823
angles (deg): 90.00 90.00 120.00
Last column: nearest neighbours and their distance in Å.
Space group P3m1 (No. 156)
Unique sites:
Ho  0.0000  0.0000  0.0000 (multiplicity 1)  3 Ge 2.85, 3 Br 2.95
Tm  0.3333  0.6667  0.6883 (multiplicity 1)  3 Ge 2.83, 3 Br 2.94
Ge  0.6667  0.3333  0.8427 (multiplicity 1)  3 Tm 2.83, 3 Ho 2.85
Br  0.0000  0.0000  0.5156 (multiplicity 1)  3 Tm 2.94
Br  0.3333  0.6667  0.1753 (multiplicity 1)  3 Ho 2.95